Entry 1:
5
Lattice="4.9353 0.0000 0.0000 0.0000 4.9353 0.0000 0.0000 0.0000 4.9353" Properties=species:S:1:pos:R:3 comment="Sc3BeOs | Alexandria | PBEsol | relaxed" magnetic_moment_mub_per_atom=0.0000 sg="Pm-3m, No. 221" dft_energy_ev_per_atom=-6.768 e_form_ev_per_atom=0.438 pbc="T T T"
Sc 2.4677 0.0000 0.0000
Sc 0.0000 0.0000 2.4677
Sc 0.0000 2.4677 0.0000
Be 2.4677 2.4677 2.4677
Os 0.0000 0.0000 0.0000

***

Entry 2:
10
Lattice="3.0700 0.0000 0.0000 0.0000 6.2903 0.0000 0.0000 0.0000 6.2903" Properties=species:S:1:pos:R:3 comment="ScBe2Os2 | Alexandria | PBEsol | relaxed" magnetic_moment_mub_per_atom=0.0010 sg="P4/mbm, No. 127" dft_energy_ev_per_atom=-8.114 e_form_ev_per_atom=-0.307 pbc="T T T"
Be 0.0000 0.7436 2.4015
Be 0.0000 3.8887 0.7436
Be 0.0000 2.4015 5.5467
Be 0.0000 5.5467 3.8887
Sc 0.0000 3.1451 3.1451
Sc 0.0000 0.0000 0.0000
Os 1.5350 1.0543 4.1995
Os 1.5350 2.0908 1.0543
Os 1.5350 4.1995 5.2359
Os 1.5350 5.2359 2.0908

***

Entry 3:
4
Lattice="4.4007 0.0238 -0.0377 -1.7325 4.0454 0.0377 1.7325 1.7734 3.6362" Properties=species:S:1:pos:R:3 comment="BeOsSe2 | Alexandria | PBEsol | relaxed" magnetic_moment_mub_per_atom=0.0004 sg="I4/mmm, No. 139" dft_energy_ev_per_atom=-5.345 pbc="T T T"
Os 0.0000 0.0000 0.0000
Se 1.3341 2.0346 0.0000
Se 3.0666 0.8986 1.7992
Be 0.0000 2.9094 1.8369

***

Which formula does entry 2 have?
ScBe2Os2

***

Please write out number 3 again, unchanged.
4
Lattice="4.4007 0.0238 -0.0377 -1.7325 4.0454 0.0377 1.7325 1.7734 3.6362" Properties=species:S:1:pos:R:3 comment="BeOsSe2 | Alexandria | PBEsol | relaxed" magnetic_moment_mub_per_atom=0.0004 sg="I4/mmm, No. 139" dft_energy_ev_per_atom=-5.345 pbc="T T T"
Os 0.0000 0.0000 0.0000
Se 1.3341 2.0346 0.0000
Se 3.0666 0.8986 1.7992
Be 0.0000 2.9094 1.8369